Entry 1:
# TbThAlSi

A geometry-optimized TbThAlSi structure (PBE, Alexandria via LeMat-Bulk).

Values from the calculation:
**Size of the total moment**: 0.000 μB/atom
**Space group**: Amm2, No. 38
**E_form (uncorrected)**: -579 meV/atom

Geometry as POSCAR:
```
TbThAlSi
1.0
4.424 0.000 0.000
0.000 4.022 0.000
-2.212 0.000 5.542
Tb Th Al Si
1 1 1 1
Cartesian
0.000 0.000 1.577
2.212 2.011 3.980
2.212 2.011 0.814
0.000 0.000 4.714
```

---

Entry 2:
# NiGeH2

A geometry-optimized NiGeH2 structure (PBE, Alexandria via LeMat-Bulk).

Values from the calculation:
**Size of the total moment**: 0.000 μB/atom
**Raw total energy**: -3.5688 eV/atom
**Space group**: Fm-3m, No. 225

Geometry as POSCAR:
```
NiGeH2
1.0
-2.124 -2.656 -1.406
-3.559 -0.188 0.916
-2.585 0.833 -2.483
Ni Ge H
1 1 2
Cartesian
0.000 0.000 0.000
-4.134 -1.006 -1.487
-2.067 -0.503 -0.743
-6.201 -1.509 -2.230
```

---

Entry 3:
# GaH6Os

A geometry-optimized GaH6Os structure (PBE, Alexandria via LeMat-Bulk).

Values from the calculation:
**Size of the total moment**: 0.000 μB/atom
**Raw total energy**: -4.0537 eV/atom
**Space group**: P-1, No. 2

Geometry as POSCAR:
```
GaH6Os
1.0
2.973 1.424 -0.317
-0.437 4.857 0.076
-0.835 -1.020 4.812
Ga H Os
1 6 1
Cartesian
1.268 3.140 -0.120
1.579 0.708 0.681
1.547 1.440 3.238
2.000 4.249 3.194
0.153 3.820 1.334
0.122 4.552 3.890
-0.299 1.012 1.377
0.000 0.000 0.000
```

---

Entry 4:
# Ba4Zn

A geometry-optimized Ba4Zn structure (PBE, Alexandria via LeMat-Bulk).

Values from the calculation:
**Size of the total moment**: 0.001 μB/atom
**Raw total energy**: -1.7932 eV/atom
**Space group**: Pm-3m, No. 221

Geometry as POSCAR:
```
Ba4Zn
1.0
6.637 0.000 0.000
0.000 6.637 0.000
0.000 0.000 6.637
Zn Ba
1 4
Cartesian
3.318 3.318 3.318
0.000 0.000 0.000
3.318 0.000 3.318
0.000 3.318 3.318
3.318 3.318 0.000
```

---

Entry 5:
# Ce2Er2Se5

A geometry-optimized Ce2Er2Se5 structure (PBE, Alexandria via LeMat-Bulk).

Values from the calculation:
**Size of the total moment**: 0.385 μB/atom
**Space group**: Cmce, No. 64
**E_form (uncorrected)**: -1715 meV/atom

Geometry as POSCAR:
```
Ce2Er2Se5
1.0
-0.648 5.521 5.401
-7.334 2.316 -3.249
0.908 -5.749 5.986
Ce Er Se
4 4 10
Cartesian
-5.703 0.720 -1.420
-1.906 -0.552 5.897
-0.724 -4.152 4.158
-5.169 2.641 2.241
-1.203 1.383 2.282
-5.872 0.706 5.857
-2.782 3.474 5.516
-4.293 -1.385 2.622
0.000 0.000 0.000
-3.538 1.044 4.069
-1.208 -1.400 2.988
-3.683 1.351 7.598
-0.343 1.996 5.181
-4.547 -2.045 5.404
-5.867 3.488 5.151
-3.393 0.738 0.540
-6.732 0.093 2.957
-2.528 4.133 2.734
```

---

Entry 6:
# BaWN3

A geometry-optimized BaWN3 structure (PBE, Alexandria via LeMat-Bulk).

Values from the calculation:
**Size of the total moment**: 0.000 μB/atom
**Space group**: C2/m, No. 12
**E_form (uncorrected)**: -516 meV/atom

Geometry as POSCAR:
```
BaWN3
1.0
3.487 0.000 0.000
-1.744 6.765 -0.002
0.000 1.454 6.869
Ba W N
2 2 6
Cartesian
-0.505 7.254 5.199
1.239 4.050 2.433
-0.505 3.758 5.905
2.982 0.781 1.729
2.983 1.917 6.637
2.982 1.723 3.467
-0.505 6.610 2.045
2.982 2.816 4.167
1.239 4.694 5.588
-0.505 2.622 0.997
```

---

Entry 7:
# TbPr2Dy

A geometry-optimized TbPr2Dy structure (PBE, Alexandria via LeMat-Bulk).

Values from the calculation:
**Size of the total moment**: 0.000 μB/atom
**Raw total energy**: -4.6867 eV/atom
**Space group**: R-3m, No. 166

Geometry as POSCAR:
```
TbPr2Dy
1.0
3.640 0.000 0.000
1.820 3.152 0.000
1.820 1.051 11.769
Pr Tb Dy
2 1 1
Cartesian
5.459 3.152 8.820
1.820 1.051 2.949
0.000 0.000 0.000
3.640 2.101 5.884
```

---

Entry 8:
# ReTeW2

A geometry-optimized ReTeW2 structure (PBE, Alexandria via LeMat-Bulk).

Values from the calculation:
**Size of the total moment**: 0.000 μB/atom
**Space group**: P4mm, No. 99
**E_form (uncorrected)**: 487 meV/atom

Geometry as POSCAR:
```
ReTeW2
1.0
-0.499 3.052 0.728
-1.701 0.356 -2.660
-5.695 -1.744 3.408
Re Te W
1 1 2
Cartesian
-2.697 -0.826 1.614
-5.397 0.388 1.606
-0.093 -0.029 0.056
-2.555 1.259 -0.095
```

---

Entry 9:
# HfScPa2

A geometry-optimized HfScPa2 structure (PBE, Alexandria via LeMat-Bulk).

Values from the calculation:
**Size of the total moment**: 0.000 μB/atom
**Raw total energy**: -8.4866 eV/atom
**Space group**: P6_3/mmc, No. 194

Geometry as POSCAR:
```
HfScPa2
1.0
-1.016 -4.495 -2.210
1.898 0.145 4.742
-8.416 0.251 3.361
Hf Sc Pa
2 2 4
Cartesian
-2.149 -2.885 0.948
-5.385 -1.214 4.946
-1.222 -4.287 3.373
-6.312 0.188 2.521
-5.009 -2.800 2.090
0.171 -1.379 2.727
-2.525 -1.299 3.803
-7.705 -2.720 3.167
```

---

Entry 10:
# KGdPdO3

A geometry-optimized KGdPdO3 structure (PBE, Alexandria via LeMat-Bulk).

Values from the calculation:
**Size of the total moment**: 1.170 μB/atom
**Space group**: C2/m, No. 12
**E_form (uncorrected)**: -1950 meV/atom

Geometry as POSCAR:
```
KGdPdO3
1.0
6.865 -0.004 0.003
5.736 3.773 0.003
1.794 0.537 7.271
K Gd Pd O
2 2 2 6
Cartesian
8.899 2.662 3.169
5.496 1.644 4.107
9.849 2.946 6.718
4.546 1.360 0.558
13.900 4.158 5.651
0.495 0.148 1.626
11.999 3.589 6.326
11.155 3.337 1.970
7.679 2.297 5.942
2.396 0.717 0.951
6.716 2.009 1.334
3.240 0.969 5.307
```

---

Entry 11:
# Y2BePd2

A geometry-optimized Y2BePd2 structure (PBE, Alexandria via LeMat-Bulk).

Values from the calculation:
**Size of the total moment**: 0.000 μB/atom
**Raw total energy**: -5.8004 eV/atom
**Space group**: I4/mmm, No. 139

Geometry as POSCAR:
```
Y2BePd2
1.0
5.508 0.000 0.000
0.000 5.508 0.000
2.754 2.754 3.643
Y Be Pd
2 1 2
Cartesian
5.508 2.754 1.822
2.754 5.508 1.822
0.000 0.000 0.000
2.754 2.754 1.334
5.508 5.508 2.309
```

---

Entry 12:
# LiThNp4N8

A geometry-optimized LiThNp4N8 structure (PBE, Alexandria via LeMat-Bulk).

Values from the calculation:
**Size of the total moment**: 0.643 μB/atom
**Space group**: R3m, No. 160
**E_form (uncorrected)**: -1025 meV/atom

Geometry as POSCAR:
```
LiThNp4N8
1.0
6.936 0.000 0.000
3.468 6.006 0.000
3.468 2.002 5.173
Li Th Np N
1 1 4 8
Cartesian
3.468 2.002 5.051
6.936 4.004 4.224
6.936 4.004 0.718
3.468 3.987 2.580
5.186 1.010 2.580
1.749 1.010 2.580
6.936 6.281 3.724
8.908 2.866 3.724
4.963 2.866 3.724
3.468 2.002 1.434
6.936 1.940 1.592
5.148 5.036 1.592
8.723 5.036 1.592
10.403 6.006 3.682
```

---

Entry 13:
# BaC3

A geometry-optimized BaC3 structure (PBE, Alexandria via LeMat-Bulk).

Values from the calculation:
**Size of the total moment**: 0.000 μB/atom
**Raw total energy**: -3.9193 eV/atom
**Space group**: Pm-3n, No. 223

Geometry as POSCAR:
```
BaC3
1.0
5.011 0.000 0.000
0.000 5.011 0.000
0.000 0.000 5.011
Ba C
2 6
Cartesian
0.000 0.000 0.000
2.505 2.505 2.505
3.758 2.505 0.000
1.253 2.505 0.000
0.000 3.758 2.505
0.000 1.253 2.505
2.505 0.000 1.253
2.505 0.000 3.758
```

---

Entry 14:
# SrSbPb2

A geometry-optimized SrSbPb2 structure (PBE, Alexandria via LeMat-Bulk).

Values from the calculation:
**Size of the total moment**: 0.000 μB/atom
**Space group**: I-42d, No. 122
**E_form (uncorrected)**: -275 meV/atom

Geometry as POSCAR:
```
SrSbPb2
1.0
9.253 0.000 0.000
0.000 9.253 0.000
4.627 4.627 3.300
Pb Sb Sr
4 2 2
Cartesian
7.313 2.313 0.825
1.940 6.940 0.825
6.940 6.567 2.475
11.566 11.940 2.475
0.000 0.000 0.000
9.253 4.627 1.650
4.627 4.627 0.000
4.627 9.253 1.650
```

---

Entry 15:
# NaSb2Au5

A geometry-optimized NaSb2Au5 structure (PBE, Alexandria via LeMat-Bulk).

Values from the calculation:
**Size of the total moment**: 0.000 μB/atom
**Space group**: Immm, No. 71
**E_form (uncorrected)**: -99 meV/atom

Geometry as POSCAR:
```
NaSb2Au5
1.0
4.542 0.000 0.000
2.271 6.662 0.248
2.271 2.241 6.279
Na Sb Au
1 2 5
Cartesian
0.000 0.000 0.000
6.813 6.690 4.904
2.271 2.214 1.623
2.271 4.452 3.264
4.542 4.150 1.285
4.542 4.753 5.242
4.542 6.429 2.956
4.542 2.474 3.571
```

---

Entry 16:
# CsSrOF2

A geometry-optimized CsSrOF2 structure (PBE, Alexandria via LeMat-Bulk).

Values from the calculation:
**Size of the total moment**: 0.200 μB/atom
**Space group**: P4/mmm, No. 123
**E_form (uncorrected)**: -2570 meV/atom

Geometry as POSCAR:
```
CsSrOF2
1.0
4.812 0.000 0.000
0.000 4.812 0.000
0.000 0.000 4.945
Cs Sr O F
1 1 1 2
Cartesian
2.406 2.406 2.473
0.000 0.000 0.000
0.000 0.000 2.473
0.000 2.406 0.000
2.406 0.000 0.000
```

---

Entry 17:
# PaNiIr

A geometry-optimized PaNiIr structure (PBE, Alexandria via LeMat-Bulk).

Values from the calculation:
**Size of the total moment**: 0.000 μB/atom
**Raw total energy**: -8.6965 eV/atom
**Space group**: Imma, No. 74

Geometry as POSCAR:
```
PaNiIr
1.0
-3.358 -2.844 2.335
1.099 -1.714 4.808
-2.711 2.079 3.948
Pa Ni Ir
2 2 2
Cartesian
-3.536 -2.338 5.353
-1.434 -0.140 5.737
0.000 0.000 0.000
-1.679 -1.422 1.167
-1.129 -2.279 3.571
-3.035 -0.382 3.141
```

---

Entry 18:
# Ba2LaPb

A geometry-optimized Ba2LaPb structure (PBE, Alexandria via LeMat-Bulk).

Values from the calculation:
**Size of the total moment**: 0.000 μB/atom
**Raw total energy**: -3.3319 eV/atom
**Space group**: P4/mmm, No. 123

Geometry as POSCAR:
```
Ba2LaPb
1.0
5.285 0.000 0.000
0.000 5.285 0.000
0.000 0.000 5.683
Pb Ba La
1 2 1
Cartesian
0.000 2.643 2.842
0.000 0.000 0.000
2.643 2.643 0.000
2.643 0.000 2.842
```

---

Entry 19:
# Eu3CdRh

A geometry-optimized Eu3CdRh structure (PBE, Alexandria via LeMat-Bulk).

Values from the calculation:
**Size of the total moment**: 4.315 μB/atom
**Raw total energy**: -8.0675 eV/atom
**Space group**: Pm-3m, No. 221

Geometry as POSCAR:
```
Eu3CdRh
1.0
5.576 0.000 0.000
0.000 5.576 0.000
0.000 0.000 5.576
Eu Rh Cd
3 1 1
Cartesian
0.000 2.788 0.000
0.000 0.000 2.788
2.788 0.000 0.000
0.000 0.000 0.000
2.788 2.788 2.788
```